[1]
# TlBiRuN

A relaxed structure of TlBiRuN (PBE-GGA, Alexandria via LeMat-Bulk).

SG: Cm, No. 8
Uncorrected formation energy: 0.236 eV per atom
Size of the total moment: 0.0 μB/f.u.

Cell: 3.2827 3.2827 9.1487 Å, 99.30 99.30 59.65°
Fractional coordinates of all 4 atoms:
Tl: 0.0000 0.0000 0.0000
Bi: 0.5419 0.5419 0.6212
Ru: 0.1259 0.1259 0.3553
N: 0.7760 0.7760 0.2917

---

[2]
# CdHg2Ir

A relaxed structure of CdHg2Ir (PBE-GGA, Alexandria via LeMat-Bulk).

SG: R-3m, No. 166
Formation energy from the elements: 38.08 kJ/mol of atoms
Size of the total moment: 0.4 μB/f.u.

Cell: 10.0681 10.0681 10.0681 Å, 17.42 17.42 17.42°
Fractional coordinates of all 4 atoms:
Cd: 0.0000 0.0000 0.0000
Hg: 0.2433 0.2433 0.2433
Hg: 0.7567 0.7567 0.7567
Ir: 0.5000 0.5000 0.5000